No. 1
The following is a DFT calculation (GGA-PBE) of U2SnMo after structural relaxation.

a b c (Å): 3.0747 3.0747 30.6967
angles (deg): 90.00 90.00 120.00
Space group R-3m (No. 166, hexagonal axes)
One atom of each set of equivalent atoms:
U 0.0000 0.0000 0.2415 x6
Sn 0.0000 0.0000 0.0000 x3
Mo 0.0000 0.0000 0.5000 x3

Results
Its distance to the lowest polymorph of the same formula is 149 meV/atom. Its electronic total energy is -9.099 eV/atom.

=====

No. 2
The following is a DFT calculation (GGA-PBE) of USnMo after structural relaxation.

a b c (Å): 3.291 3.291 11.661
angles (deg): 90.00 90.00 90.00
Space group I4mm (No. 107)
One atom of each set of equivalent atoms:
U 0.000 0.000 0.000 x2
Sn 0.000 0.000 0.291 x2
Mo 0.000 0.000 0.647 x2

Results
Its electronic total energy is -8.518 eV/atom.

=====

No. 3
The following is a DFT calculation (GGA-PBE) of VSn2Mo2 after structural relaxation.

a b c (Å): 3.839 3.839 13.682
angles (deg): 90.00 90.00 90.00
Space group I4/mmm (No. 139)
One atom of each set of equivalent atoms:
V 0.000 0.000 0.000 x2
Sn 0.000 0.500 0.250 x4
Mo 0.000 0.000 0.414 x4

Results
Its distance to the lowest polymorph of the same formula is 434 meV/atom. Its electronic total energy is -6.927 eV/atom.

=====

No. 4
The following is a DFT calculation (GGA-PBE) of VSn2Mo after structural relaxation.

a b c (Å): 7.517 7.517 5.814
angles (deg): 90.00 90.00 90.00
Space group I-42d (No. 122)
One atom of each set of equivalent atoms:
V 0.000 0.000 0.000 x4
Sn 0.247 0.250 0.125 x8
Mo 0.000 0.000 0.500 x4

Results
Its distance to the lowest polymorph of the same formula is 414 meV/atom. Its electronic total energy is -6.268 eV/atom.

=====

No. 5
The following is a DFT calculation (GGA-PBE) of V4SnMo after structural relaxation.

a b c (Å): 4.389 9.271 4.434
angles (deg): 90.00 90.00 90.00
Space group Cmmm (No. 65)
One atom of each set of equivalent atoms:
V 0.000 0.177 0.000 x4
V 0.000 0.321 0.500 x4
Sn 0.000 0.000 0.500 x2
Mo 0.000 0.500 0.000 x2

Results
Its distance to the lowest polymorph of the same formula is 0 meV/atom. Its electronic total energy is -8.563 eV/atom.

=====

No. 6
The following is a DFT calculation (GGA-PBE) of V4SnMo after structural relaxation.

a b c (Å): 7.095 7.095 7.095
angles (deg): 90.00 90.00 90.00
Space group F-43m (No. 216)
One atom of each set of equivalent atoms:
V 0.124 0.124 0.124 x16
Sn 0.000 0.000 0.500 x4
Mo 0.250 0.250 0.750 x4

Results
Its distance to the lowest polymorph of the same formula is 29 meV/atom. Its electronic total energy is -8.534 eV/atom.

=====

| no. | energy of formation (meV/atom) |
| --- | --- |
| 1 | 253.5 |
| 2 | 189.1 |
| 3 | 830.6 |
| 4 | 720.6 |
| 5 | -11.9 |
| 6 | 17.1 |